# 1
Density functional theory data (PBE) for a relaxed structure of Tc2AgIr.

Calculated values
**Energy**: -7.73 eV per atom
**Distance to the lowest polymorph of the same formula**: 247 meV/atom

abc: 3.928 3.928 7.836
angles: 90.00 90.00 90.00
Space group I-4m2 (No. 119)
Inequivalent atoms, fractional coordinates:
Tc1 0.000 0.000 0.000 x2
Tc2 0.000 0.500 0.250 x2
Ag1 0.000 0.500 0.750 x2
Ir1 0.000 0.000 0.500 x2


# 2
Density functional theory data (PBE) for a relaxed structure of CsSO2.

Calculated values
**Energy**: -4.24 eV per atom
**Formation energy without anion corrections**: -0.514 eV/atom

abc: 5.619 5.619 10.524
angles: 90.00 90.00 90.00
Space group I-42d (No. 122)
Inequivalent atoms, fractional coordinates:
Cs1 0.000 0.000 0.000 x4
S1 0.000 0.000 0.500 x4
O1 0.002 0.750 0.625 x8


# 3
Density functional theory data (PBE) for a relaxed structure of HoTe2S6.

Calculated values
**Energy**: -4.38 eV per atom
**Formation energy without anion corrections**: -0.418 eV/atom

abc: 7.289 7.919 8.880
angles: 96.42 98.07 91.63
Space group P-1 (No. 2)
Inequivalent atoms, fractional coordinates:
Ho1 0.161 0.292 0.100 x2
Te1 0.169 0.151 0.606 x2
Te2 0.381 0.601 0.730 x2
S1 0.043 0.960 0.109 x2
S2 0.110 0.461 0.833 x2
S3 0.168 0.860 0.450 x2
S4 0.251 0.329 0.425 x2
S5 0.386 0.588 0.211 x2
S6 0.497 0.830 0.915 x2